Material: ScTeAuO
Method: DFT, PBE-GGA
State: relaxed

## Properties
V	19.16	Å³/atom
excess energy over the best structure of this formula in the dataset	41	meV/atom
magnetization	0.002	Bohr magnetons per cell

POSCAR file:
```
ScTeAuO
1.0
0.000 -2.742 -2.743
0.000 -2.742 2.743
-20.390 0.000 0.000
Au O Sc Te
4 4 4 4
Cartesian
-5.094 -2.728 -1.199 Au
-5.101 -2.728 1.543 Au
-15.289 -2.756 1.543 Au
-15.296 -2.756 -1.199 Au
0.000 -2.742 -2.551 O
0.000 -2.742 0.192 O
-10.195 -2.742 -2.550 O
-10.195 -2.742 0.192 O
-0.940 -1.370 -1.179 Sc
-9.255 -4.112 -1.179 Sc
-11.135 -1.372 -1.179 Sc
-19.450 -4.113 -1.179 Sc
-2.734 -4.104 -1.180 Te
-7.460 -1.363 -1.180 Te
-12.929 -4.121 -1.180 Te
-17.655 -1.379 -1.180 Te
```